# CaTaAsRh2 (GGA-PBE, relaxed)
# **Energy of formation**: 1.8201 eV per atom
# **Total magnetic moment**: 0.00 μB/atom
# **Energy above the most stable polymorph in this dataset**: 5.51 eV per formula unit
data_CaTaAsRh2
_chemical_formula_sum 'Ca1 Ta1 As1 Rh2'
_cell_length_a 4.587
_cell_length_b 4.587
_cell_length_c 5.143
_cell_angle_alpha 90.00
_cell_angle_beta 90.00
_cell_angle_gamma 90.00
_symmetry_space_group_name_H-M 'P 4/m m m'
_symmetry_Int_Tables_number 123
_symmetry_space_group_name_Hall '-P 4 2'
loop_
_atom_site_label
_atom_site_fract_x
_atom_site_fract_y
_atom_site_fract_z
Ca1 0.000 0.000 0.000
Ta1 0.000 0.000 0.500
As1 0.500 0.500 0.500
Rh1 0.000 0.500 0.000